No. 1
VASP calculation (PBE-GGA) on crystalline K3BF at its relaxed geometry.

Values from the calculation:
Relative energy among the computed polymorphs in eV per atom: 0.0000
Space-group type: Pm-3m (221)
Raw formation energy in eV per formula unit: -1.576

abc: 5.210 5.210 5.210
angles: 90.00 90.00 90.00
Site moments in Bohr magnetons follow the coordinates.
Fractional coordinates of all 5 atoms:
1 K 0.000 0.500 0.000  0.04
2 K 0.000 0.000 0.500  0.04
3 K 0.500 0.000 0.000  0.04
4 B 0.500 0.500 0.500  0.71
5 F 0.000 0.000 0.000  0.01

---

No. 2
VASP calculation (PBE-GGA) on crystalline ZrBeW at its relaxed geometry.

Values from the calculation:
Relative energy among the computed polymorphs in eV per atom: 0.0000
Space-group type: Fmm2 (42)

abc: 6.341 6.286 2.798
angles: 78.29 76.11 25.60
Fractional coordinates of all 3 atoms:
1 Be 0.991 0.991 0.009
2 Zr 0.651 0.651 0.349
3 W 0.358 0.358 0.642

---

No. 3
VASP calculation (PBE-GGA) on crystalline Er6CdHg5 at its relaxed geometry.

Values from the calculation:
Calculated total energy in eV/atom: -2.937
Space-group type: Cmmm (65)

abc: 5.207 7.389 8.274
angles: 90.00 71.66 90.00
Fractional coordinates of all 12 atoms:
1 Cd 0.000 0.000 0.000
2 Hg 0.666 0.500 0.668
3 Hg 0.338 0.000 0.323
4 Hg 0.000 0.500 0.000
5 Hg 0.662 0.000 0.677
6 Hg 0.334 0.500 0.332
7 Er 0.832 0.750 0.336
8 Er 0.832 0.250 0.336
9 Er 0.500 0.253 0.000
10 Er 0.500 0.747 0.000
11 Er 0.168 0.750 0.664
12 Er 0.168 0.250 0.664

---

No. 4
VASP calculation (PBE-GGA) on crystalline CsHgPIr at its relaxed geometry.

Values from the calculation:
Calculated total energy in eV/atom: -4.297
Space-group type: P4/nmm (129)

abc: 4.042 4.042 14.079
angles: 90.00 90.00 90.00
Fractional coordinates of all 8 atoms:
1 Cs 0.750 0.750 0.243
2 Cs 0.250 0.250 0.757
3 Hg 0.250 0.750 0.500
4 Hg 0.750 0.250 0.500
5 P 0.750 0.750 0.911
6 P 0.250 0.250 0.089
7 Ir 0.750 0.250 0.000
8 Ir 0.250 0.750 0.000

---

No. 5
VASP calculation (PBE-GGA) on crystalline Pm8YHo6 at its relaxed geometry.

Values from the calculation:
Relative energy among the computed polymorphs in eV per atom: 0.0000
Space-group type: R-3 (148)

abc: 9.108 9.108 8.721
angles: 58.52 58.52 60.00
Fractional coordinates of all 15 atoms:
1 Pm 0.251 0.282 0.579
2 Pm 0.718 0.112 0.421
3 Pm 0.112 0.749 0.421
4 Pm 0.578 0.578 0.267
5 Pm 0.422 0.422 0.733
6 Pm 0.888 0.251 0.579
7 Pm 0.282 0.888 0.579
8 Pm 0.749 0.718 0.421
9 Y 0.000 0.000 0.000
10 Ho 0.461 0.902 0.883
11 Ho 0.098 0.246 0.117
12 Ho 0.246 0.539 0.117
13 Ho 0.754 0.461 0.883
14 Ho 0.902 0.754 0.883
15 Ho 0.539 0.098 0.117

---

No. 6
VASP calculation (PBE-GGA) on crystalline Si2SN at its relaxed geometry.

Values from the calculation:
Relative energy among the computed polymorphs in eV per atom: 0.0000
Space-group type: I-42d (122)
Raw formation energy in eV per formula unit: 0.999

abc: 4.407 4.407 6.588
angles: 70.46 70.46 90.00
Fractional coordinates of all 8 atoms:
1 S 0.000 0.000 0.000
2 S 0.750 0.250 0.500
3 Si 0.512 0.125 0.250
4 Si 0.238 0.625 0.250
5 Si 0.375 0.488 0.750
6 Si 0.875 0.762 0.750
7 N 0.500 0.500 0.000
8 N 0.250 0.750 0.500